# NdSm2Y6Er2 (GGA-PBE, relaxed)
# Space-group type ... C2/m, No. 12
# ΔE_f ... 162 kJ/mol of formula units
# D(E_F) ... 1.585 states/eV per atom
# Crystal system ... monoclinic
data_NdSm2Y6Er2
_cell_length_a 6.659
_cell_length_b 6.659
_cell_length_c 10.661
_cell_angle_alpha 90.07
_cell_angle_beta 90.07
_cell_angle_gamma 129.30
_space_group_name_H-M_alt 'P 1'
_space_group_IT_number 1
_space_group_name_Hall 'P 1'
loop_
_atom_site_label
_atom_site_type_symbol
_atom_site_fract_x
_atom_site_fract_y
_atom_site_fract_z
_atom_site_occupancy
Nd1 Nd 0.000 0.000 0.000 1
Sm1 Sm 0.365 0.635 0.500 1
Sm2 Sm 0.635 0.365 0.500 1
Y1 Y 0.152 0.844 0.290 1
Y2 Y 0.156 0.848 0.710 1
Y3 Y 0.498 0.498 0.211 1
Y4 Y 0.502 0.502 0.789 1
Y5 Y 0.844 0.152 0.290 1
Y6 Y 0.848 0.156 0.710 1
Er1 Er 0.298 0.702 0.000 1
Er2 Er 0.702 0.298 0.000 1